# 1
# PmSmPuCd | Alexandria via LeMat-Bulk | PBE-GGA | optimized geometry
data_PmSmPuCd
_chemical_formula_sum 'Pm4 Sm4 Pu4 Cd4'
_symmetry_space_group_name_H-M 'F -4 3 m'
_symmetry_Int_Tables_number 216
_symmetry_space_group_name_Hall 'F -4 2 3'
_cell_length_a 7.7622
_cell_length_b 7.7622
_cell_length_c 7.7622
_cell_angle_alpha 90.00
_cell_angle_beta 90.00
_cell_angle_gamma 90.00
loop_
_atom_site_label
_atom_site_type_symbol
_atom_site_fract_x
_atom_site_fract_y
_atom_site_fract_z
Pm1 Pm 0.0000 0.0000 0.0000
Sm1 Sm 0.0000 0.0000 0.5000
Pu1 Pu 0.2500 0.2500 0.7500
Cd1 Cd 0.2500 0.2500 0.2500
# ΔH_f (0 K) ... 25 kJ/mol of formula units
# Magnetization ... 25.3 μB per cell



# 2
# TbPmPuCd | Alexandria via LeMat-Bulk | PBE-GGA | optimized geometry
data_TbPmPuCd
_chemical_formula_sum 'Tb4 Pm4 Pu4 Cd4'
_symmetry_space_group_name_H-M 'F -4 3 m'
_symmetry_Int_Tables_number 216
_symmetry_space_group_name_Hall 'F -4 2 3'
_cell_length_a 7.7183
_cell_length_b 7.7183
_cell_length_c 7.7183
_cell_angle_alpha 90.00
_cell_angle_beta 90.00
_cell_angle_gamma 90.00
loop_
_atom_site_label
_atom_site_type_symbol
_atom_site_fract_x
_atom_site_fract_y
_atom_site_fract_z
Tb1 Tb 0.0000 0.0000 0.0000
Pm1 Pm 0.0000 0.0000 0.5000
Pu1 Pu 0.2500 0.2500 0.7500
Cd1 Cd 0.2500 0.2500 0.2500
# ΔH_f (0 K) ... 27 kJ/mol of formula units
# Magnetization ... 25.8 μB per cell